(1)
A plane-wave DFT calculation with GGA-PBE was carried out for Li2AgN2 after structural relaxation.

Calculated values
- raw formation energy (eV per atom) = 0.766
- crystal system = tetragonal
- energy relative to the lowest polymorph listed for this composition (meV per atom) = 732

Unit cell a=6.256 b=6.256 c=2.531 alpha=90.00 beta=90.00 gamma=90.00
Space group P4/mbm (No. 127)
Unique sites:
Li (0.121, 0.379, 0.000) (multiplicity 4)
Ag (0.000, 0.000, 0.000) (multiplicity 2)
N (0.184, 0.684, 0.500) (multiplicity 4)

(2)
A plane-wave DFT calculation with GGA-PBE was carried out for LiAgN2 after structural relaxation.

Calculated values
- raw formation energy (eV per atom) = 1.363
- crystal system = tetragonal
- energy relative to the lowest polymorph listed for this composition (meV per atom) = 197

Unit cell a=4.586 b=4.586 c=10.148 alpha=90.00 beta=90.00 gamma=90.00
Space group I-42d (No. 122)
Unique sites:
Li (0.000, 0.000, 0.000) (multiplicity 4)
Ag (0.000, 0.000, 0.500) (multiplicity 4)
N (0.241, 0.250, 0.625) (multiplicity 8)

(3)
A plane-wave DFT calculation with GGA-PBE was carried out for LiAgN2 after structural relaxation.

Calculated values
- raw formation energy (eV per atom) = 1.166
- crystal system = trigonal
- energy relative to the lowest polymorph listed for this composition (meV per atom) = 0

Unit cell a=3.4661 b=3.4661 c=14.1402 alpha=90.00 beta=90.00 gamma=120.00
Space group R-3m (No. 166, hexagonal axes)
Unique sites:
Li (0.0000, 0.0000, 0.0000) (multiplicity 3)
Ag (0.0000, 0.0000, 0.5000) (multiplicity 3)
N (0.0000, 0.0000, 0.3494) (multiplicity 6)